A plane-wave DFT calculation with GGA-PBE was carried out for a relaxed structure of AcPrNi10.

Calculated values
SG: Pmmm (47)
E_form: -22.6 kJ/mol of atoms
V: 14.6 A^3/atom
DOS(E_F): 13.8 states/eV/f.u.

Lattice parameters (Å, degrees): 3.9759 5.0374 8.7321 90.00 90.00 90.00
Positions (direct):
Ac 0.0000 0.0000 0.0000
Pr 0.0000 0.5000 0.5000
Ni 0.0000 0.0000 0.3378
Ni 0.0000 0.0000 0.6622
Ni 0.0000 0.5000 0.1715
Ni 0.0000 0.5000 0.8285
Ni 0.5000 0.0000 0.5000
Ni 0.5000 0.2519 0.2547
Ni 0.5000 0.2519 0.7453
Ni 0.5000 0.5000 0.0000
Ni 0.5000 0.7481 0.2547
Ni 0.5000 0.7481 0.7453